Entry from the Alexandria database: a geometry-optimized SmPuCl2 structure (GGA-PBE).

Calculated values
Its formation energy (no corrections) is -1.150 eV/atom. For the total DFT energy (no corrections), the calculation gives -6.84 eV per atom. For the total magnetic moment, the calculation gives 6.42 Bohr magnetons per cell.

Cell: 9.803 9.803 9.803 Å, 21.70 21.70 21.70°
Atoms (fractional coordinates):
Sm 0.000 0.000 0.000
Pu 0.500 0.500 0.500
Cl 0.098 0.098 0.098
Cl 0.902 0.902 0.902



Entry from the Alexandria database: a geometry-optimized SmPuCl6 structure (GGA-PBE).

Calculated values
For the energy above the lowest structure with this stoichiometry, the calculation gives 0.03 eV per formula unit. Its formation energy (no corrections) is -2.052 eV/atom. For the total DFT energy (no corrections), the calculation gives -5.82 eV per atom. For the total magnetic moment, the calculation gives 5.00 Bohr magnetons per cell.

Cell: 7.499 7.499 7.499 Å, 54.09 54.09 54.09°
Atoms (fractional coordinates):
Sm 0.000 0.000 0.000
Pu 0.500 0.500 0.500
Cl 0.101 0.747 0.398
Cl 0.253 0.602 0.899
Cl 0.398 0.101 0.747
Cl 0.602 0.899 0.253
Cl 0.747 0.398 0.101
Cl 0.899 0.253 0.602



Entry from the Alexandria database: a geometry-optimized SmPuCl4 structure (GGA-PBE).

Calculated values
Its formation energy (no corrections) is -1.732 eV/atom. For the total DFT energy (no corrections), the calculation gives -6.14 eV per atom. For the total magnetic moment, the calculation gives 14.02 Bohr magnetons per cell.

Cell: 7.159 6.955 6.706 Å, 90.00 93.94 90.00°
Atoms (fractional coordinates):
Sm 0.000 0.000 0.000
Sm 0.000 0.500 0.500
Pu 0.500 0.000 0.500
Pu 0.500 0.500 0.000
Cl 0.160 0.154 0.660
Cl 0.160 0.346 0.160
Cl 0.344 0.651 0.629
Cl 0.344 0.849 0.129
Cl 0.656 0.151 0.871
Cl 0.656 0.349 0.371
Cl 0.840 0.654 0.840
Cl 0.840 0.846 0.340



Entry from the Alexandria database: a geometry-optimized SmPuCl6 structure (GGA-PBE).

Calculated values
For the energy above the lowest structure with this stoichiometry, the calculation gives 0.00 eV per formula unit. Its formation energy (no corrections) is -2.056 eV/atom. For the total DFT energy (no corrections), the calculation gives -5.82 eV per atom. For the total magnetic moment, the calculation gives 5.00 Bohr magnetons per cell.

Cell: 7.059 7.059 6.792 Å, 97.41 97.41 121.63°
Atoms (fractional coordinates):
Sm 0.000 0.000 0.000
Pu 0.500 0.500 0.500
Cl 0.103 0.392 0.251
Cl 0.250 0.250 0.751
Cl 0.392 0.103 0.251
Cl 0.608 0.897 0.749
Cl 0.750 0.750 0.249
Cl 0.897 0.608 0.749